Record 1
Density functional theory data (GGA-PBE) for crystalline Sr2TlP at its relaxed geometry.

Calculated values
- Total energy: -3.423 eV per atom
- ΔH_f (0 K): -62 kJ/mol of atoms
- Calculated density: 4.73 Mg/m³

Unit cell a=8.9540 b=8.9540 c=8.9540 alpha=28.47 beta=28.47 gamma=28.47
Closest atoms and distances in Å follow each position.
Fractional coordinates of all 4 atoms:
Sr: 0.7719 0.7719 0.7719  3 P 3.00
Sr: 0.2281 0.2281 0.2281  3 P 3.00
Tl: 0.0000 0.0000 0.0000  6 Sr 3.72
P: 0.5000 0.5000 0.5000  6 Sr 3.00



Record 2
Density functional theory data (GGA-PBE) for crystalline Mn5S12I3 at its relaxed geometry.

Calculated values
- ΔE_f (raw): -18 meV per atom
- Total energy: -5.019 eV per atom
- Calculated density: 4.17 Mg/m³

Unit cell a=12.9128 b=12.9129 c=12.9129 alpha=109.47 beta=109.47 gamma=109.47
Closest atoms and distances in Å follow each position.
Fractional coordinates of all 80 atoms:
I: 0.7500 0.3750 0.1250  4 S 2.88
I: 0.8750 0.7500 0.1250  4 S 2.88
I: 0.3750 0.7500 0.6250  4 S 2.88
I: 0.2500 0.1250 0.3750  4 S 2.88
I: 0.8750 0.1250 0.2500  4 S 2.88
I: 0.3750 0.6250 0.2500  4 S 2.88
I: 0.6250 0.3750 0.7500  4 S 2.88
I: 0.1250 0.8750 0.7500  4 S 2.88
I: 0.7500 0.8750 0.6250  4 S 2.88
I: 0.6250 0.2500 0.3750  4 S 2.88
I: 0.1250 0.2500 0.8750  4 S 2.88
I: 0.2500 0.6250 0.8750  4 S 2.88
Mn: 0.1250 0.3750 0.2500  4 S 2.10
Mn: 0.0000 0.5000 0.0000  6 S 2.31
Mn: 0.0000 0.0000 0.0000  6 S 2.31
Mn: 0.3750 0.2500 0.1250  4 S 2.10
Mn: 0.5000 0.0000 0.5000  6 S 2.31
Mn: 0.5000 0.5000 0.0000  6 S 2.31
Mn: 0.1250 0.7500 0.3750  4 S 2.10
Mn: 0.7500 0.1250 0.8750  4 S 2.10
Mn: 0.7500 0.6250 0.3750  4 S 2.10
Mn: 0.3750 0.1250 0.7500  4 S 2.10
Mn: 0.6250 0.8750 0.2500  4 S 2.10
Mn: 0.5000 0.5000 0.5000  6 S 2.31
Mn: 0.5000 0.0000 0.0000  6 S 2.31
Mn: 0.0000 0.0000 0.5000  6 S 2.31
Mn: 0.2500 0.3750 0.6250  4 S 2.10
Mn: 0.2500 0.8750 0.1250  4 S 2.10
Mn: 0.0000 0.5000 0.5000  6 S 2.31
Mn: 0.8750 0.2500 0.6250  4 S 2.10
Mn: 0.6250 0.7500 0.8750  4 S 2.10
Mn: 0.8750 0.6250 0.7500  4 S 2.10
S: 0.6807 0.1118 0.9984  2 Mn 2.10-2.31
S: 0.3177 0.4984 0.3866  2 Mn 2.10-2.31
S: 0.0016 0.3882 0.3193  2 Mn 2.10-2.31
S: 0.4984 0.1807 0.1118  2 Mn 2.10-2.31
S: 0.5690 0.6807 0.6823  2 Mn 2.10-2.31
S: 0.0016 0.6134 0.1823  2 Mn 2.10-2.31
S: 0.3177 0.8193 0.4310  2 Mn 2.10-2.31
S: 0.1134 0.9310 0.1118  2 Mn 2.10-2.31
S: 0.6134 0.0016 0.6823  2 Mn 2.10-2.31
S: 0.6807 0.5690 0.1823  2 Mn 2.10-2.31
S: 0.8193 0.5016 0.3882  2 Mn 2.10-2.31
S: 0.8177 0.8866 0.9984  2 Mn 2.10-2.31
S: 0.1118 0.6807 0.4984  2 Mn 2.10-2.31
S: 0.3882 0.3866 0.0690  2 Mn 2.10-2.31
S: 0.0690 0.8866 0.3882  2 Mn 2.10-2.31
S: 0.4310 0.1118 0.6134  2 Mn 2.10-2.31
S: 0.0690 0.1823 0.1807  2 Mn 2.10-2.31
S: 0.5016 0.6823 0.1134  2 Mn 2.10-2.31
S: 0.8177 0.9310 0.3193  2 Mn 2.10-2.31
S: 0.1118 0.4310 0.1134  2 Mn 2.10-2.31
S: 0.3882 0.0016 0.8193  2 Mn 2.10-2.31
S: 0.6134 0.6118 0.4310  2 Mn 2.10-2.31
S: 0.8866 0.8176 0.4984  2 Mn 2.10-2.31
S: 0.8193 0.3177 0.9310  2 Mn 2.10-2.31
S: 0.3866 0.3882 0.5690  2 Mn 2.10-2.31
S: 0.1134 0.1824 0.5016  2 Mn 2.10-2.31
S: 0.1807 0.6823 0.0690  2 Mn 2.10-2.31
S: 0.1823 0.0690 0.6807  2 Mn 2.10-2.31
S: 0.6118 0.9984 0.1807  2 Mn 2.10-2.31
S: 0.8882 0.5690 0.8866  2 Mn 2.10-2.31
S: 0.4984 0.3177 0.8866  2 Mn 2.10-2.31
S: 0.5690 0.8882 0.3866  2 Mn 2.10-2.31
S: 0.9310 0.8177 0.8193  2 Mn 2.10-2.31
S: 0.9310 0.1134 0.6118  2 Mn 2.10-2.31
S: 0.8882 0.3193 0.5016  2 Mn 2.10-2.31
S: 0.1823 0.1134 0.0016  2 Mn 2.10-2.31
S: 0.6118 0.6134 0.9310  2 Mn 2.10-2.31
S: 0.3866 0.9984 0.3177  2 Mn 2.10-2.31
S: 0.3193 0.4310 0.8177  2 Mn 2.10-2.31
S: 0.1807 0.4984 0.6118  2 Mn 2.10-2.31
S: 0.8866 0.0690 0.8882  2 Mn 2.10-2.31
S: 0.6823 0.1807 0.5690  2 Mn 2.10-2.31
S: 0.5016 0.8193 0.8882  2 Mn 2.10-2.31
S: 0.9984 0.3866 0.8177  2 Mn 2.10-2.31
S: 0.4310 0.3193 0.3177  2 Mn 2.10-2.31
S: 0.9984 0.6118 0.6807  2 Mn 2.10-2.31
S: 0.6823 0.5016 0.6134  2 Mn 2.10-2.31
S: 0.3193 0.8882 0.0016  2 Mn 2.10-2.31



Record 3
Density functional theory data (GGA-PBE) for crystalline Nd8Er2Th3 at its relaxed geometry.

Calculated values
- Total energy: -5.114 eV per atom
- ΔH_f (0 K): 23 kJ/mol of atoms
- Calculated density: 8.08 Mg/m³

Unit cell a=10.4423 b=11.1014 c=9.9560 alpha=123.88 beta=137.17 gamma=90.00
Closest atoms and distances in Å follow each position.
Fractional coordinates of all 13 atoms:
Nd: 0.0094 0.6130 0.2260  1 Th 3.04, 2 Er 3.28-3.38
Nd: 0.9906 0.3870 0.7740  1 Th 3.04, 2 Er 3.28-3.38
Nd: 0.1649 0.2530 0.5061  2 Er 3.44-3.68, 5 Nd 3.63-3.84, 3 Th 3.79-3.82
Nd: 0.8351 0.7470 0.4939  2 Er 3.44-3.68, 5 Nd 3.63-3.84, 3 Th 3.79-3.82
Nd: 0.6422 0.7240 0.9614  3 Th 3.36-3.74, 3 Nd 3.46-3.63, 1 Er 3.61
Nd: 0.6422 0.2373 0.9614  3 Th 3.36-3.74, 3 Nd 3.46-3.63, 1 Er 3.61
Nd: 0.3578 0.7627 0.0386  3 Th 3.36-3.74, 3 Nd 3.46-3.63, 1 Er 3.61
Nd: 0.3578 0.2760 0.0386  3 Th 3.36-3.74, 3 Nd 3.46-3.63, 1 Er 3.61
Er: 0.4252 0.1895 0.3790  5 Nd 3.28-3.61, 2 Th 3.44
Er: 0.5748 0.8105 0.6210  5 Nd 3.28-3.61, 2 Th 3.44
Th: 0.5000 0.0000 0.0000  6 Nd 3.04-3.36
Th: 0.0000 0.2364 0.0000  8 Nd 3.43-3.82, 2 Er 3.44
Th: 0.0000 0.7636 0.0000  8 Nd 3.43-3.82, 2 Er 3.44



Record 4
Density functional theory data (GGA-PBE) for crystalline K2SbAu at its relaxed geometry.

Calculated values
- ΔE_f (raw): -90 meV per atom
- Total energy: -2.489 eV per atom
- Calculated density: 4.73 Mg/m³

Unit cell a=10.6065 b=10.6065 c=10.6065 alpha=21.40 beta=21.40 gamma=21.40
Closest atoms and distances in Å follow each position.
Fractional coordinates of all 4 atoms:
Au: 0.2500 0.2500 0.2500  6 K 3.26
K: 0.9918 0.9918 0.9918  3 Au 3.26, 3 Sb 3.64
K: 0.5082 0.5082 0.5082  3 Au 3.26, 3 Sb 3.64
Sb: 0.7500 0.7500 0.7500  6 K 3.64, 6 Sb 3.94



The highest total energy belongs to which entry?
K2SbAu



Number 3 is which compound?
Nd8Er2Th3



total energy of number 3 (Nd8Er2Th3)?
-5.114 eV per atom